Entry 1:
This record from the Alexandria database describes Al2InFe after structural relaxation. The functional is PBE.

a = 4.8759 Å, b = 4.8734 Å, c = 3.9368 Å
α = 66.22°, β = 66.15°, γ = 47.63°
Element x y z (fractional)
Al1 0.0000 0.0000 0.0000
Al2 0.2500 0.2500 0.2500
In1 0.7500 0.7500 0.7500
Fe1 0.5000 0.5000 0.5000

Summary:
Its symmetry is F222. As for the theoretical density: 6.01 g/cm³. The formation enthalpy at 0 K is 144.3 meV/atom. The density of states at the Fermi level comes out at 0.569 states/eV/atom. The volume is 62.02 Å³/cell. The crystal system is orthorhombic.

=====

Entry 2:
This record from the Alexandria database describes Al2InFe after structural relaxation. The functional is PBE.

a = 4.5154 Å, b = 4.5154 Å, c = 6.0574 Å
α = 122.19°, β = 122.19°, γ = 41.63°
Element x y z (fractional)
Al1 0.0000 0.0000 0.0000
Al2 0.2443 0.2443 0.6288
In1 0.3900 0.3900 0.3047
Fe1 0.6440 0.6440 0.8424

Summary:
Its symmetry is Cm. As for the theoretical density: 5.53 g/cm³. The formation enthalpy at 0 K is 45.5 meV/atom. The density of states at the Fermi level comes out at 0.634 states/eV/atom. The volume is 67.42 Å³/cell. The crystal system is monoclinic.

=====

Entry 3:
This record from the Alexandria database describes Al2InFe after structural relaxation. The functional is PBE.

a = 3.1215 Å, b = 4.2180 Å, c = 4.9378 Å
α = 90.00°, β = 90.12°, γ = 90.00°
Element x y z (fractional)
Al1 0.0000 0.0000 0.0000
Al2 0.4993 0.5000 0.8661
In1 0.9981 0.5000 0.3879
Fe1 0.4979 0.0000 0.6130

Summary:
Its symmetry is Pm. As for the theoretical density: 5.74 g/cm³. The formation enthalpy at 0 K is 126.8 meV/atom. The density of states at the Fermi level comes out at 0.484 states/eV/atom. The volume is 65.01 Å³/cell. The crystal system is monoclinic.

=====

Entry 4:
This record from the Alexandria database describes Al2InFe after structural relaxation. The functional is PBE.

a = 9.4234 Å, b = 9.4234 Å, c = 9.4234 Å
α = 155.02°, β = 155.02°, γ = 35.61°
Element x y z (fractional)
Al1 0.0786 0.6250 0.9536
Al2 0.3750 0.3286 0.4536
Al3 0.6714 0.1250 0.0464
Al4 0.8750 0.9214 0.5464
In1 0.2500 0.7500 0.5000
In2 0.5000 0.5000 0.0000
Fe1 0.0000 0.0000 0.0000
Fe2 0.7500 0.2500 0.5000

Summary:
Its symmetry is I-42d. As for the theoretical density: 5.01 g/cm³. The formation enthalpy at 0 K is 317.3 meV/atom. The density of states at the Fermi level comes out at 0.609 states/eV/atom. The volume is 149.00 Å³/cell. The crystal system is tetragonal.

=====

Entry 5:
This record from the Alexandria database describes Al2InFe after structural relaxation. The functional is PBE.

a = 4.8845 Å, b = 4.8845 Å, c = 4.8845 Å
α = 132.49°, β = 132.49°, γ = 69.45°
Element x y z (fractional)
Al1 0.2500 0.7500 0.5000
Al2 0.7500 0.2500 0.5000
In1 0.0000 0.0000 0.0000
Fe1 0.5000 0.5000 0.0000

Summary:
Its symmetry is I4/mmm. As for the theoretical density: 6.00 g/cm³. The formation enthalpy at 0 K is 143.8 meV/atom. The density of states at the Fermi level comes out at 0.663 states/eV/atom. The volume is 62.16 Å³/cell. The crystal system is tetragonal.

=====

Entry 6:
This record from the Alexandria database describes Al2InFe after structural relaxation. The functional is PBE.

a = 8.8134 Å, b = 8.8134 Å, c = 8.8134 Å
α = 19.61°, β = 19.61°, γ = 19.61°
Element x y z (fractional)
Al1 0.2344 0.2344 0.2344
Al2 0.7656 0.7656 0.7656
In1 0.0000 0.0000 0.0000
Fe1 0.5000 0.5000 0.5000

Summary:
Its symmetry is R-3m. As for the theoretical density: 5.53 g/cm³. The formation enthalpy at 0 K is 59.4 meV/atom. The density of states at the Fermi level comes out at 0.387 states/eV/atom. The volume is 67.46 Å³/cell. The crystal system is trigonal.

=====

Entry 7:
This record from the Alexandria database describes Al2InFe after structural relaxation. The functional is PBE.

a = 8.8426 Å, b = 8.8426 Å, c = 8.8426 Å
α = 19.61°, β = 19.61°, γ = 19.61°
Element x y z (fractional)
Al1 0.0000 0.0000 0.0000
Al2 0.2479 0.2479 0.2479
In1 0.4869 0.4869 0.4869
Fe1 0.7374 0.7374 0.7374

Summary:
Its symmetry is R3m. As for the theoretical density: 5.48 g/cm³. The formation enthalpy at 0 K is 149.3 meV/atom. The density of states at the Fermi level comes out at 0.576 states/eV/atom. The volume is 68.08 Å³/cell. The crystal system is trigonal.

=====

Entry 8:
This record from the Alexandria database describes Al2InFe after structural relaxation. The functional is PBE.

a = 4.4527 Å, b = 4.4527 Å, c = 4.4527 Å
α = 60.00°, β = 60.00°, γ = 60.00°
Element x y z (fractional)
Al1 0.0000 0.0000 0.0000
Al2 0.2500 0.2500 0.2500
In1 0.5000 0.5000 0.5000
Fe1 0.7500 0.7500 0.7500

Summary:
Its symmetry is F-43m. As for the theoretical density: 5.98 g/cm³. The formation enthalpy at 0 K is 341.6 meV/atom. The density of states at the Fermi level comes out at 0.672 states/eV/atom. The volume is 62.42 Å³/cell. The crystal system is cubic.